[1]
# TaSiOs2, optimized geometry, DFT PBE-GGA
data_TaSiOs2
_symmetry_space_group_name_H-M 'P m m m'
_symmetry_Int_Tables_number 47
_symmetry_space_group_name_Hall '-P 2 2'
_cell_length_a 3.012
_cell_length_b 4.279
_cell_length_c 4.638
_cell_angle_alpha 90.00
_cell_angle_beta 90.00
_cell_angle_gamma 90.00
loop_
_atom_site_label
_atom_site_fract_x
_atom_site_fract_y
_atom_site_fract_z
_atom_site_occupancy
Ta1 0.000 0.000 0.000 1
Si1 0.500 0.000 0.500 1
Os1 0.000 0.500 0.500 1
Os2 0.500 0.500 0.000 1
# E_form (uncorrected): 0.050 eV/atom



[2]
# NdCu2Pd2, optimized geometry, DFT PBE-GGA
data_NdCu2Pd2
_symmetry_space_group_name_H-M 'I 4/m m m'
_symmetry_Int_Tables_number 139
_symmetry_space_group_name_Hall '-I 4 2'
_cell_length_a 4.071
_cell_length_b 4.071
_cell_length_c 22.023
_cell_angle_alpha 90.00
_cell_angle_beta 90.00
_cell_angle_gamma 90.00
loop_
_atom_site_label
_atom_site_fract_x
_atom_site_fract_y
_atom_site_fract_z
_atom_site_occupancy
Nd1 0.000 0.000 0.127 1
Cu1 0.000 0.000 0.320 1
Cu2 0.000 0.500 0.000 1
Pd1 0.000 0.000 0.431 1
Pd2 0.000 0.500 0.250 1
# ΔH_f (0 K): -0.40 eV per atom



| no. | VASP energy (eV per atom) |
| --- | --- |
| 1 | -9.884 |
| 2 | -5.071 |